A plane-wave DFT calculation with PBE+U was carried out for a relaxed NiAs2HO6 crystal.

Lattice parameters (Å, degrees): 10.3666 10.2352 6.1470 90.00 117.60 90.00
Space group C2/c (No. 15)
Inequivalent atoms, fractional coordinates:
Ni: 0.0000 0.0139 0.2500 [4 per cell]
As: 0.1897 0.4223 0.7729 [8 per cell]
H: 0.0000 0.2731 0.7500 [4 per cell]
O: 0.1185 0.0663 0.0845 [8 per cell]
O: 0.1177 0.2683 0.7454 [8 per cell]
O: 0.1358 0.4802 0.4609 [8 per cell]

Results
Magnetization: 1.900 μB/f.u.
Volume: 578.0 Å³/cell
E: -217.50 eV per cell